! LiTa2CrF, relaxed, DFT PBE+U; values from VASP
! SG   No. 123
! Electronic total energy   -5.65 eV/atom
! V   21.19 Å³/atom
&SYSTEM
  ibrav = 0, nat = 5, ntyp = 4
/
ATOMIC_SPECIES
Cr 52.00 Cr.upf
F 19.00 F.upf
Ta 180.95 Ta.upf
Li 6.94 Li.upf
ATOMIC_POSITIONS crystal
Cr 0.0000 0.0000 0.0000
F 0.5000 0.5000 0.5000
Ta 0.5000 0.0000 0.0000
Ta 0.0000 0.0000 0.5000
Li 0.0000 0.5000 0.0000
CELL_PARAMETERS angstrom
-2.0850 -1.5490 3.8087
2.0592 -4.4864 -0.6974
3.6442 1.2815 2.5162